Crystalline CsNa2TeBr at its relaxed geometry, computed with PBE-GGA. Values from VASP.

Geometry as Quantum ESPRESSO input:
```
&SYSTEM
  ibrav = 0, nat = 5, ntyp = 4
/
ATOMIC_SPECIES
Cs 132.91 Cs.upf
Na 22.99 Na.upf
Te 127.60 Te.upf
Br 79.90 Br.upf
ATOMIC_POSITIONS crystal
Cs 0.000 0.000 0.000
Na 0.224 0.724 0.500
Na 0.724 0.224 0.500
Te 0.616 0.616 0.000
Br 0.324 0.324 0.000
CELL_PARAMETERS angstrom
-2.523 2.523 7.955
2.523 -2.523 7.955
2.523 2.523 -7.955
```

Results
Density of states at the Fermi level, states/eV/f.u.: 0.0
Formation energy (no corrections), eV per atom: -1.201
Final energy, eV for the cell shown: -14.31